# 1
# ReSb3Se

A relaxed structure of ReSb3Se (PBE-GGA, Alexandria).

```
5
Lattice="-4.638 2.399 -0.827 -2.057 -4.564 -1.702 -1.486 -1.172 4.937" Properties=species:S:1:pos:R:3 pbc="T T T"
Sb -0.743 -0.586 2.468
Sb -2.319 1.200 -0.414
Sb -1.028 -2.282 -0.851
Re -4.091 -1.668 1.204
Se 0.000 0.000 0.000
```

Calculated values
The formation energy (no corrections) comes out at 1588 meV per atom. The calculation puts the magnetization at 0.5312 μB/atom.

# 2
# Mn2TlSe4

A relaxed structure of Mn2TlSe4 (PBE-GGA, Alexandria).

```
14
Lattice="-3.719 2.042 -6.719 3.729 -5.862 -3.856 -4.166 -1.558 6.537" Properties=species:S:1:pos:R:3 pbc="T T T"
Mn -1.968 -1.311 -4.011
Mn -4.050 -2.090 -0.742
Mn -0.103 -4.243 -5.940
Mn -2.191 -3.111 2.617
Se -2.478 -3.967 0.165
Se -3.838 0.463 -4.426
Se -4.061 -1.482 1.799
Se -4.040 -2.699 -3.283
Se -0.098 -3.087 -3.596
Se -2.260 -0.403 -1.578
Se -5.622 -0.213 -1.650
Se -1.675 -2.220 -6.443
Tl -7.884 0.484 -0.182
Tl -0.216 -4.664 -1.303
```

Calculated values
The formation energy (no corrections) comes out at -367 meV per atom. The calculation puts the magnetization at 1.1104 μB/atom.

# 3
# Y3MgTe4

A relaxed structure of Y3MgTe4 (PBE-GGA, Alexandria).

```
16
Lattice="-2.015 -4.627 3.430 8.037 -3.677 -0.238 2.537 5.011 8.250" Properties=species:S:1:pos:R:3 pbc="T T T"
Te 6.023 -3.097 0.029
Te 2.027 -0.957 5.995
Te -0.430 -2.957 1.928
Te 5.117 -3.595 4.249
Te 2.934 -0.457 1.773
Te 4.463 2.564 6.747
Te 6.125 -1.605 7.526
Te 8.452 -1.160 4.142
Y 3.729 0.071 8.383
Y 5.807 -1.191 2.473
Y 3.280 1.245 4.272
Y 6.858 0.886 5.892
Y 2.243 -2.863 3.551
Y 4.770 -5.297 1.750
Mg 7.442 -3.528 5.891
Mg 0.540 -0.682 0.248
```

Calculated values
The formation energy (no corrections) comes out at -1033 meV per atom. The calculation puts the magnetization at 0.0000 μB/atom.

# 4
# SmYLuCd

A relaxed structure of SmYLuCd (PBE-GGA, Alexandria).

```
4
Lattice="-1.758 -2.251 -4.648 -2.428 -4.884 0.082 -5.351 -0.403 -0.982" Properties=species:S:1:pos:R:3 pbc="T T T"
Lu 0.000 0.000 0.000
Cd -4.769 -3.769 -2.773
Sm -2.384 -1.884 -1.387
Y -7.153 -5.653 -4.160
```

Calculated values
The value obtained for the energy relative to the elements is -0.050 eV per atom. The calculation puts the magnetization at 0.0004 μB/atom.

# 5
# GeAsPBr2

A relaxed structure of GeAsPBr2 (PBE-GGA, Alexandria).

```
5
Lattice="-3.647 -0.087 -3.373 3.328 -0.917 -3.574 -0.576 -5.021 0.752" Properties=species:S:1:pos:R:3 pbc="T T T"
Br -1.823 -0.043 -1.687
Br 1.664 -0.458 -1.787
Ge -0.447 -3.012 -3.098
P 0.000 0.000 0.000
As -0.288 -2.511 0.376
```

Calculated values
The formation energy (no corrections) comes out at 512 meV per atom. The calculation puts the magnetization at 0.0000 μB/atom.

# 6
# Tm3NbO7

A relaxed structure of Tm3NbO7 (PBE-GGA, Alexandria).

```
22
Lattice="6.435 0.105 0.000 -2.130 6.073 0.000 0.000 0.000 7.384" Properties=species:S:1:pos:R:3 pbc="T T T"
O 3.256 2.320 5.538
O 2.427 5.860 4.073
O 4.463 4.134 0.164
O 5.779 0.562 1.846
O 1.972 0.559 3.528
O -0.159 2.044 3.856
O 1.878 0.318 0.381
O -0.352 1.872 7.003
O -1.474 5.616 5.538
O 3.356 2.250 1.846
O 2.332 5.619 7.220
O 0.949 3.927 5.538
O 4.656 4.306 3.311
O 1.048 3.858 1.846
Tm 0.854 6.117 5.620
Tm 5.443 2.920 1.764
Tm 1.971 2.829 3.692
Tm -1.138 3.258 5.456
Tm 2.334 3.349 0.000
Tm 3.450 0.060 1.928
Nb 0.012 0.017 0.000
Nb 4.293 6.161 3.692
```

Calculated values
The formation energy (no corrections) comes out at -3346 meV per atom. The calculation puts the magnetization at 0.0000 μB/atom.

# 7
# Th4GeBi2As

A relaxed structure of Th4GeBi2As (PBE-GGA, Alexandria).

```
8
Lattice="4.390 0.000 0.000 0.000 7.581 0.124 0.000 -2.660 7.385" Properties=species:S:1:pos:R:3 pbc="T T T"
Th 2.195 3.694 5.864
Th 2.195 1.226 1.645
Th 0.000 5.030 1.700
Th 0.000 -0.110 5.808
As 2.195 3.790 0.062
Ge 0.000 0.000 0.000
Bi 2.195 -1.330 3.692
Bi 0.000 2.460 3.754
```

Calculated values
The value obtained for the energy relative to the elements is -0.865 eV per atom. The calculation puts the magnetization at 0.0000 μB/atom.

# 8
# LaCoAs4

A relaxed structure of LaCoAs4 (PBE-GGA, Alexandria).

```
6
Lattice="-3.149 -0.089 4.654 -4.757 2.983 0.232 -4.968 -2.628 -0.018" Properties=species:S:1:pos:R:3 pbc="T T T"
La 0.000 0.000 0.000
As -4.867 0.101 1.841
As -6.403 0.058 4.111
As -7.188 1.556 1.954
As -7.290 -1.181 1.832
Co -9.656 0.200 3.651
```

Calculated values
The value obtained for the energy relative to the elements is 0.081 eV per atom. The calculation puts the magnetization at 0.3108 μB/atom.

# 9
# CuIrSe2

A relaxed structure of CuIrSe2 (PBE-GGA, Alexandria).

```
4
Lattice="1.828 0.000 8.121 -0.914 1.583 8.121 -0.914 -1.583 8.121" Properties=species:S:1:pos:R:3 pbc="T T T"
Cu 0.000 0.000 12.182
Se 0.000 0.000 21.991
Se 0.000 0.000 2.373
Ir 0.000 0.000 0.000
```

Calculated values
The formation energy (no corrections) comes out at 368 meV per atom. The calculation puts the magnetization at 0.0000 μB/atom.

# 10
# Ti2NiWCl

A relaxed structure of Ti2NiWCl (PBE-GGA, Alexandria).

```
5
Lattice="-1.443 -0.597 4.166 -2.657 -2.704 -1.308 3.004 -3.231 0.577" Properties=species:S:1:pos:R:3 pbc="T T T"
Ni -1.328 -1.352 -0.654
W -0.548 -3.266 1.718
Ti -0.721 -0.299 2.083
Ti 1.502 -1.616 0.289
Cl 0.000 0.000 0.000
```

Calculated values
The formation energy (no corrections) comes out at 437 meV per atom. The calculation puts the magnetization at 0.0000 μB/atom.

# 11
# AgIr2Au

A relaxed structure of AgIr2Au (PBE-GGA, Alexandria).

```
4
Lattice="4.982 -0.002 0.013 4.194 2.689 0.013 0.800 0.234 4.765" Properties=species:S:1:pos:R:3 pbc="T T T"
Ir 9.947 2.913 4.770
Ir 5.018 1.469 2.415
Ag 7.482 2.191 3.592
Au 2.494 0.730 1.197
```

Calculated values
The value obtained for the energy relative to the elements is 0.374 eV per atom. The calculation puts the magnetization at 0.0026 μB/atom.

# 12
# Li2BiF6

A relaxed structure of Li2BiF6 (PBE-GGA, Alexandria).

```
18
Lattice="-1.823 4.364 1.352 -1.674 -1.993 4.173 8.366 2.139 4.378" Properties=species:S:1:pos:R:3 pbc="T T T"
F 4.481 3.437 7.506
F 0.388 1.073 2.397
F 1.780 2.699 5.985
F 0.959 3.785 3.361
F 3.821 4.517 4.859
F -1.023 2.030 4.626
F 3.910 0.725 6.542
F -1.796 3.174 1.880
F 5.892 2.481 5.278
F -1.702 -0.804 3.646
F 1.047 -0.007 5.045
F 3.088 1.812 3.918
Bi 4.183 1.070 2.189
Bi -1.749 1.185 2.763
Li 3.799 2.604 5.666
Li 1.069 1.906 4.237
Li 1.365 0.349 0.714
Li 7.001 1.790 3.664
```

Calculated values
The formation energy (no corrections) comes out at -2467 meV per atom. The calculation puts the magnetization at 0.0809 μB/atom.